Material: YTmBeAu
Method: DFT, GGA-PBE
State: relaxed

Computed properties:
Total moment (μB per formula unit): 0.00
ΔH_f (0 K) (eV/atom): -0.354

Unit cell a=4.9639 b=4.9639 c=4.9639 alpha=60.00 beta=60.00 gamma=60.00
Fractional positions:
Be 0.5000 0.5000 0.5000
Au 0.0000 0.0000 0.0000
Tm 0.2500 0.2500 0.2500
Y 0.7500 0.7500 0.7500